First-principles (PBE) data for an optimized crystal structure of KCe2IO4, as listed in the Alexandria database.

Output
- total magnetization (μB per atom) = 0.00
- energy (eV per atom) = -6.88
- symmetry = P4/mmm (123)
- formation energy without anion corrections (eV per atom) = -2.591

The structure in POSCAR format:
```
KCe2IO4
1.0
4.0703 0.0000 0.0000
0.0000 4.0703 0.0000
0.0000 0.0000 10.1737
O Ce I K
4 2 1 1
direct
0.0000 0.5000 0.1907
0.5000 0.0000 0.8093
0.0000 0.5000 0.8093
0.5000 0.0000 0.1907
0.5000 0.5000 0.2599
0.5000 0.5000 0.7401
0.0000 0.0000 0.5000
0.0000 0.0000 0.0000
```